1.
Material: AcBi2Au
Method: DFT, PBE-GGA
State: relaxed

Results
M_tot = 0.00 Bohr magnetons per cell
E_form = -0.616 eV/atom
final energy = -4.402 eV per atom

Lattice parameters (Å, degrees): 10.396 10.396 10.396 152.39 152.39 39.44
Positions (direct):
Ac 0.133 0.133 0.000
Ac 0.867 0.867 0.000
Bi 0.000 0.500 0.500
Bi 0.344 0.344 0.000
Bi 0.500 0.000 0.500
Bi 0.656 0.656 0.000
Au 0.250 0.750 0.500
Au 0.750 0.250 0.500


2.
Material: Ac2Bi2Au
Method: DFT, PBE-GGA
State: relaxed

Results
M_tot = 0.00 Bohr magnetons per cell
E_form = -0.773 eV/atom
final energy = -4.625 eV per atom

Lattice parameters (Å, degrees): 6.810 6.810 12.770 114.00 114.00 40.89
Positions (direct):
Ac 0.079 0.079 0.395
Ac 0.308 0.308 0.841
Ac 0.692 0.692 0.159
Ac 0.921 0.921 0.605
Bi 0.087 0.087 0.939
Bi 0.341 0.341 0.370
Bi 0.659 0.659 0.630
Bi 0.913 0.913 0.061
Au 0.484 0.484 0.219
Au 0.516 0.516 0.781


3.
Material: Ac2BiAu6
Method: DFT, PBE-GGA
State: relaxed

Results
M_tot = 0.00 Bohr magnetons per cell
E_form = -0.556 eV/atom
final energy = -4.085 eV per atom

Lattice parameters (Å, degrees): 8.321 8.321 3.919 90.06 90.06 59.11
Positions (direct):
Ac 0.166 0.166 0.000
Ac 0.834 0.834 0.000
Bi 0.500 0.500 0.000
Au 0.166 0.501 0.500
Au 0.169 0.831 0.500
Au 0.499 0.834 0.500
Au 0.501 0.166 0.500
Au 0.831 0.169 0.500
Au 0.834 0.499 0.500


4.
Material: AcBiAu
Method: DFT, PBE-GGA
State: relaxed

Results
M_tot = 0.00 Bohr magnetons per cell
E_form = -0.742 eV/atom
final energy = -4.498 eV per atom

Lattice parameters (Å, degrees): 4.821 4.821 4.702 90.00 90.00 120.00
Positions (direct):
Ac 0.000 0.000 0.000
Bi 0.333 0.667 0.535
Au 0.667 0.333 0.355


5.
Material: AcBi4Au2
Method: DFT, PBE-GGA
State: relaxed

Results
M_tot = 0.00 Bohr magnetons per cell
E_form = -0.367 eV/atom
final energy = -4.108 eV per atom

Lattice parameters (Å, degrees): 10.160 10.160 4.638 90.00 90.00 153.65
Positions (direct):
Ac 0.000 0.000 0.000
Bi 0.164 0.836 0.500
Bi 0.335 0.665 0.000
Bi 0.665 0.335 0.000
Bi 0.836 0.164 0.500
Au 0.432 0.568 0.500
Au 0.568 0.432 0.500


6.
Material: AcBi3Au
Method: DFT, PBE-GGA
State: relaxed

Results
M_tot = 0.00 Bohr magnetons per cell
E_form = -0.349 eV/atom
final energy = -4.155 eV per atom

Lattice parameters (Å, degrees): 7.046 7.482 6.295 90.00 90.00 90.00
Positions (direct):
Ac 0.000 0.157 0.000
Ac 0.500 0.843 0.500
Bi 0.000 0.878 0.500
Bi 0.242 0.730 0.022
Bi 0.258 0.270 0.522
Bi 0.500 0.122 0.000
Bi 0.742 0.270 0.522
Bi 0.758 0.730 0.022
Au 0.000 0.502 0.290
Au 0.500 0.498 0.790


7.
Material: AcBiAu
Method: DFT, PBE-GGA
State: relaxed

Results
M_tot = 0.00 Bohr magnetons per cell
E_form = -0.676 eV/atom
final energy = -4.432 eV per atom

Lattice parameters (Å, degrees): 4.156 4.897 9.537 84.92 77.78 89.80
Positions (direct):
Ac 0.104 0.281 0.291
Ac 0.896 0.719 0.709
Bi 0.303 0.182 0.896
Bi 0.697 0.818 0.104
Au 0.465 0.236 0.575
Au 0.535 0.764 0.425


8.
Material: Ac2BiAu3
Method: DFT, PBE-GGA
State: relaxed

Results
M_tot = 0.00 Bohr magnetons per cell
E_form = -0.794 eV/atom
final energy = -4.449 eV per atom

Lattice parameters (Å, degrees): 9.860 9.411 6.413 74.39 66.82 38.79
Positions (direct):
Ac 0.236 0.764 0.764
Ac 0.250 0.250 0.250
Ac 0.750 0.750 0.750
Ac 0.764 0.236 0.236
Bi 0.335 0.335 0.665
Bi 0.665 0.665 0.335
Au 0.162 0.162 0.838
Au 0.163 0.673 0.327
Au 0.327 0.837 0.163
Au 0.673 0.163 0.837
Au 0.837 0.327 0.673
Au 0.838 0.838 0.162


9.
Material: AcBiAu10
Method: DFT, PBE-GGA
State: relaxed

Results
M_tot = 0.00 Bohr magnetons per cell
E_form = -0.241 eV/atom
final energy = -3.638 eV per atom

Lattice parameters (Å, degrees): 4.695 5.690 9.810 90.00 90.00 90.00
Positions (direct):
Ac 0.000 0.000 0.000
Bi 0.000 0.500 0.500
Au 0.000 0.000 0.341
Au 0.000 0.000 0.659
Au 0.000 0.500 0.177
Au 0.000 0.500 0.823
Au 0.500 0.000 0.500
Au 0.500 0.245 0.245
Au 0.500 0.245 0.755
Au 0.500 0.500 0.000
Au 0.500 0.755 0.245
Au 0.500 0.755 0.755


10.
Material: CaAcBiAu
Method: DFT, PBE-GGA
State: relaxed

Results
M_tot = 0.00 Bohr magnetons per cell
E_form = -0.757 eV/atom
final energy = -4.074 eV per atom

Lattice parameters (Å, degrees): 5.591 5.591 5.591 60.00 60.00 60.00
Positions (direct):
Ca 0.000 0.000 0.000
Ac 0.500 0.500 0.500
Bi 0.750 0.750 0.750
Au 0.250 0.250 0.250


11.
Material: AcCdBiAu
Method: DFT, PBE-GGA
State: relaxed

Results
M_tot = 0.00 Bohr magnetons per cell
E_form = -0.463 eV/atom
final energy = -3.509 eV per atom

Lattice parameters (Å, degrees): 5.424 5.424 5.424 60.00 60.00 60.00
Positions (direct):
Ac 0.000 0.000 0.000
Cd 0.250 0.250 0.250
Bi 0.500 0.500 0.500
Au 0.750 0.750 0.750


12.
Material: AcCd2BiAu4
Method: DFT, PBE-GGA
State: relaxed

Results
M_tot = 0.00 Bohr magnetons per cell
E_form = -0.373 eV/atom
final energy = -3.239 eV per atom

Lattice parameters (Å, degrees): 10.503 10.503 10.503 25.97 25.97 25.97
Positions (direct):
Ac 0.000 0.000 0.000
Cd 0.247 0.247 0.247
Cd 0.753 0.753 0.753
Bi 0.500 0.500 0.500
Au 0.116 0.116 0.116
Au 0.393 0.393 0.393
Au 0.607 0.607 0.607
Au 0.884 0.884 0.884


13.
Material: AcErBiAu
Method: DFT, PBE-GGA
State: relaxed

Results
M_tot = 1.04 Bohr magnetons per cell
E_form = -0.600 eV/atom
final energy = -4.557 eV per atom

Lattice parameters (Å, degrees): 5.523 5.523 5.523 60.00 60.00 60.00
Positions (direct):
Ac 0.000 0.000 0.000
Er 0.500 0.500 0.500
Bi 0.250 0.250 0.250
Au 0.750 0.750 0.750


14.
Material: Ac2Ga3BiAu4
Method: DFT, PBE-GGA
State: relaxed

Results
M_tot = 0.00 Bohr magnetons per cell
E_form = -0.625 eV/atom
final energy = -4.054 eV per atom

Lattice parameters (Å, degrees): 4.597 4.597 11.374 90.00 90.00 90.00
Positions (direct):
Ac 0.000 0.500 0.232
Ac 0.500 0.000 0.768
Ga 0.000 0.500 0.883
Ga 0.500 0.000 0.117
Ga 0.500 0.500 0.500
Bi 0.000 0.000 0.500
Au 0.000 0.000 0.000
Au 0.000 0.500 0.658
Au 0.500 0.000 0.342
Au 0.500 0.500 0.000


15.
Material: AcGa2BiAu5
Method: DFT, PBE-GGA
State: relaxed

Results
M_tot = 0.00 Bohr magnetons per cell
E_form = -0.326 eV/atom
final energy = -3.707 eV per atom

Lattice parameters (Å, degrees): 5.164 5.164 7.645 90.00 90.00 90.00
Positions (direct):
Ac 0.000 0.000 0.000
Ga 0.500 0.500 0.338
Ga 0.500 0.500 0.662
Bi 0.000 0.000 0.500
Au 0.000 0.500 0.259
Au 0.000 0.500 0.741
Au 0.500 0.000 0.259
Au 0.500 0.000 0.741
Au 0.500 0.500 0.000


16.
Material: Ac2GaBiAu6
Method: DFT, PBE-GGA
State: relaxed

Results
M_tot = 0.00 Bohr magnetons per cell
E_form = -0.519 eV/atom
final energy = -3.998 eV per atom

Lattice parameters (Å, degrees): 5.554 6.137 7.935 95.07 106.36 103.87
Positions (direct):
Ac 0.041 0.279 0.208
Ac 0.959 0.721 0.792
Ga 0.500 0.000 0.500
Bi 0.500 0.500 0.000
Au 0.027 0.193 0.645
Au 0.346 0.595 0.589
Au 0.441 0.952 0.160
Au 0.559 0.048 0.840
Au 0.654 0.405 0.411
Au 0.973 0.807 0.355


17.
Material: AcGeBiAu
Method: DFT, PBE-GGA
State: relaxed

Results
M_tot = 0.00 Bohr magnetons per cell
E_form = -0.422 eV/atom
final energy = -4.393 eV per atom

Lattice parameters (Å, degrees): 5.365 5.365 5.365 60.00 60.00 60.00
Positions (direct):
Ac 0.000 0.000 0.000
Ge 0.250 0.250 0.250
Bi 0.500 0.500 0.500
Au 0.750 0.750 0.750


18.
Material: Ac2Ge3BiAu4
Method: DFT, PBE-GGA
State: relaxed

Results
M_tot = 0.00 Bohr magnetons per cell
E_form = -0.567 eV/atom
final energy = -4.473 eV per atom

Lattice parameters (Å, degrees): 4.622 4.622 11.302 90.00 90.00 90.00
Positions (direct):
Ac 0.000 0.500 0.227
Ac 0.500 0.000 0.773
Ge 0.000 0.500 0.879
Ge 0.500 0.000 0.121
Ge 0.500 0.500 0.500
Bi 0.000 0.000 0.500
Au 0.000 0.000 0.000
Au 0.000 0.500 0.655
Au 0.500 0.000 0.345
Au 0.500 0.500 0.000


19.
Material: AcHgBiAu
Method: DFT, PBE-GGA
State: relaxed

Results
M_tot = 0.00 Bohr magnetons per cell
E_form = -0.552 eV/atom
final energy = -3.444 eV per atom

Lattice parameters (Å, degrees): 5.431 5.431 5.431 60.00 60.00 60.00
Positions (direct):
Ac 0.000 0.000 0.000
Hg 0.250 0.250 0.250
Bi 0.500 0.500 0.500
Au 0.750 0.750 0.750


20.
Material: AcHoBiAu
Method: DFT, PBE-GGA
State: relaxed

Results
M_tot = 1.02 Bohr magnetons per cell
E_form = -0.610 eV/atom
final energy = -4.571 eV per atom

Lattice parameters (Å, degrees): 5.530 5.530 5.530 60.00 60.00 60.00
Positions (direct):
Ac 0.000 0.000 0.000
Ho 0.500 0.500 0.500
Bi 0.250 0.250 0.250
Au 0.750 0.750 0.750